Entry 1:
Entry from the Alexandria database: a PBEsol-optimized structure of Ti2SN2 (meta-GGA SCAN).

Values from the calculation:
For the energy relative to the elements, uncorrected, the calculation gives -1.59 eV/atom. The mass density comes out at 4.4 g/cm3. The total energy comes out at -13.647 eV/atom. Its crystal system is trigonal.

Lattice parameters (Å, degrees): 3.3592 3.3592 6.0749 90.00 90.00 120.00
With the nearest neighbours (Å) after each atom.
Space group P-3m1 (No. 164)
Symmetry-distinct sites (fractional):
1 Ti 0.3333 0.6667 0.1998 x2  4 N 1.98-2.04
2 S 0.0000 0.0000 0.5000 x1  6 Ti 2.66, 6 N 2.94
3 N 0.3333 0.6667 0.8638 x2  4 Ti 1.98-2.04

=====

Entry 2:
Entry from the Alexandria database: a PBEsol-optimized structure of TiS2N2 (meta-GGA SCAN).

Values from the calculation:
For the energy relative to the elements, uncorrected, the calculation gives 0.64 eV/atom. The mass density comes out at 3.2 g/cm3. The total energy comes out at -10.137 eV/atom. Its crystal system is tetragonal. The calculation puts the energy above the most stable polymorph in this dataset at 0.0 meV/atom.

Lattice parameters (Å, degrees): 3.7501 3.7501 5.2075 90.00 90.00 90.00
With the nearest neighbours (Å) after each atom.
Space group P4/mmm (No. 123)
Symmetry-distinct sites (fractional):
1 Ti 0.0000 0.0000 0.0000 x1  4 N 1.88
2 S 0.0000 0.0000 0.5000 x1  2 Ti 2.60, 4 S 2.65
3 S 0.5000 0.5000 0.5000 x1  4 S 2.65
4 N 0.0000 0.5000 0.0000 x2  2 Ti 1.88

=====

Entry 3:
Entry from the Alexandria database: a PBEsol-optimized structure of TiS2N2 (meta-GGA SCAN).

Values from the calculation:
For the energy relative to the elements, uncorrected, the calculation gives 0.90 eV/atom. The mass density comes out at 2.8 g/cm3. The total energy comes out at -9.870 eV/atom. Its crystal system is tetragonal. The calculation puts the energy above the most stable polymorph in this dataset at 267.1 meV/atom.

Lattice parameters (Å, degrees): 4.6733 4.6733 3.8378 90.00 90.00 90.00
With the nearest neighbours (Å) after each atom.
Space group P4/mmm (No. 123)
Symmetry-distinct sites (fractional):
1 Ti 0.0000 0.0000 0.0000 x1  2 N 1.92
2 S 0.0000 0.5000 0.0000 x2  2 Ti 2.34
3 N 0.0000 0.0000 0.5000 x1  2 Ti 1.92
4 N 0.5000 0.5000 0.5000 x1  8 S 3.02, 4 N 3.30

=====

Entry 4:
Entry from the Alexandria database: a PBEsol-optimized structure of Ti2SN2 (meta-GGA SCAN).

Values from the calculation:
For the energy relative to the elements, uncorrected, the calculation gives -1.30 eV/atom. The mass density comes out at 4.1 g/cm3. The total energy comes out at -13.353 eV/atom. Its crystal system is tetragonal.

Lattice parameters (Å, degrees): 3.4287 3.4287 10.6875 90.00 90.00 90.00
With the nearest neighbours (Å) after each atom.
Space group I4/mmm (No. 139)
Symmetry-distinct sites (fractional):
1 Ti 0.0000 0.0000 0.1604 x4  4 N 1.96
2 S 0.0000 0.0000 0.5000 x2  8 Ti 2.97, 8 N 3.17
3 N 0.0000 0.5000 0.2500 x4  4 Ti 1.96

=====

Entry 5:
Entry from the Alexandria database: a PBEsol-optimized structure of TiTlSN2 (meta-GGA SCAN).

Values from the calculation:
For the energy relative to the elements, uncorrected, the calculation gives 0.06 eV/atom. The mass density comes out at 6.7 g/cm3. The total energy comes out at -23.258 eV/atom. Its crystal system is tetragonal.

Lattice parameters (Å, degrees): 3.8794 3.8794 5.1779 90.00 90.00 90.00
With the nearest neighbours (Å) after each atom.
Space group P4/mmm (No. 123)
Symmetry-distinct sites (fractional):
1 Ti 0.0000 0.0000 0.0000 x1  4 N 1.94
2 Tl 0.5000 0.5000 0.5000 x1  4 S 2.74
3 S 0.0000 0.0000 0.5000 x1  2 Ti 2.59, 4 Tl 2.74
4 N 0.0000 0.5000 0.0000 x2  2 Ti 1.94

=====

Entry 6:
Entry from the Alexandria database: a PBEsol-optimized structure of ZrTiS2N (meta-GGA SCAN).

Values from the calculation:
For the energy relative to the elements, uncorrected, the calculation gives -0.79 eV/atom. The mass density comes out at 4.5 g/cm3. The total energy comes out at -15.846 eV/atom. Its crystal system is tetragonal.

Lattice parameters (Å, degrees): 4.6612 4.6612 3.7034 90.00 90.00 90.00
With the nearest neighbours (Å) after each atom.
Space group P4/mmm (No. 123)
Symmetry-distinct sites (fractional):
1 Zr 0.0000 0.0000 0.0000 x1  8 S 2.98, 4 N 3.30
2 Ti 0.5000 0.5000 0.5000 x1  2 N 1.85
3 S 0.0000 0.5000 0.5000 x2  2 Ti 2.33
4 N 0.5000 0.5000 0.0000 x1  2 Ti 1.85

=====

Entry 7:
Entry from the Alexandria database: a PBEsol-optimized structure of Tl3SN (meta-GGA SCAN).

Values from the calculation:
For the energy relative to the elements, uncorrected, the calculation gives 1.06 eV/atom. The mass density comes out at 5.7 g/cm3. The total energy comes out at -46.136 eV/atom. Its crystal system is cubic.

Lattice parameters (Å, degrees): 5.7858 5.7858 5.7858 90.00 90.00 90.00
With the nearest neighbours (Å) after each atom.
Space group Pm-3m (No. 221)
Symmetry-distinct sites (fractional):
1 Tl 0.0000 0.0000 0.5000 x3  2 S 2.89
2 S 0.0000 0.0000 0.0000 x1  6 Tl 2.89
3 N 0.5000 0.5000 0.5000 x1  12 Tl 4.09

=====

Entry 8:
Entry from the Alexandria database: a PBEsol-optimized structure of TlSN2 (meta-GGA SCAN).

Values from the calculation:
For the energy relative to the elements, uncorrected, the calculation gives 1.26 eV/atom. The mass density comes out at 8.4 g/cm3. The total energy comes out at -23.878 eV/atom. Its crystal system is trigonal.

Lattice parameters (Å, degrees): 2.8647 2.8647 22.0167 90.00 90.00 120.00
With the nearest neighbours (Å) after each atom.
Space group R-3m (No. 166, hexagonal axes)
Symmetry-distinct sites (fractional):
1 Tl 0.0000 0.0000 0.0000 x3  2 N 2.69, 6 Tl 2.86
2 S 0.0000 0.0000 0.5000 x3  6 N 1.92
3 N 0.0000 0.0000 0.1220 x6  3 S 1.92

=====

Entry 9:
Entry from the Alexandria database: a PBEsol-optimized structure of TlS2N2 (meta-GGA SCAN).

Values from the calculation:
For the energy relative to the elements, uncorrected, the calculation gives 1.41 eV/atom. The mass density comes out at 6.0 g/cm3. The total energy comes out at -20.627 eV/atom. Its crystal system is tetragonal.

Lattice parameters (Å, degrees): 3.5755 3.5755 6.4356 90.00 90.00 90.00
With the nearest neighbours (Å) after each atom.
Space group P4/mmm (No. 123)
Symmetry-distinct sites (fractional):
1 Tl 0.0000 0.0000 0.0000 x1  4 S 2.53
2 S 0.5000 0.5000 0.0000 x1  4 Tl 2.53
3 S 0.5000 0.5000 0.5000 x1  4 N 1.79
4 N 0.0000 0.5000 0.5000 x2  2 S 1.79

=====

Entry 10:
Entry from the Alexandria database: a PBEsol-optimized structure of W3SN (meta-GGA SCAN).

Values from the calculation:
For the energy relative to the elements, uncorrected, the calculation gives 0.76 eV/atom. The mass density comes out at 14.4 g/cm3. The total energy comes out at -44.839 eV/atom. Its crystal system is cubic.

Lattice parameters (Å, degrees): 4.0968 4.0968 4.0968 90.00 90.00 90.00
With the nearest neighbours (Å) after each atom.
Space group Pm-3m (No. 221)
Symmetry-distinct sites (fractional):
1 W 0.0000 0.0000 0.5000 x3  2 N 2.05
2 S 0.5000 0.5000 0.5000 x1  12 W 2.90
3 N 0.0000 0.0000 0.0000 x1  6 W 2.05

=====

Entry 11:
Entry from the Alexandria database: a PBEsol-optimized structure of WS2N (meta-GGA SCAN).

Values from the calculation:
For the energy relative to the elements, uncorrected, the calculation gives 1.10 eV/atom. The mass density comes out at 7.1 g/cm3. The total energy comes out at -23.459 eV/atom. Its crystal system is tetragonal.

Lattice parameters (Å, degrees): 5.0380 5.0380 9.6386 90.00 90.00 90.00
With the nearest neighbours (Å) after each atom.
Space group I-42d (No. 122)
Symmetry-distinct sites (fractional):
1 W 0.0000 0.0000 0.0000 x4  4 S 2.26
2 S 0.2133 0.2500 0.6250 x8  2 N 2.05, 2 W 2.26
3 N 0.0000 0.0000 0.5000 x4  4 S 2.05

=====

Entry 12:
Entry from the Alexandria database: a PBEsol-optimized structure of YWS2N (meta-GGA SCAN).

Values from the calculation:
For the energy relative to the elements, uncorrected, the calculation gives 0.94 eV/atom. The mass density comes out at 5.4 g/cm3. The total energy comes out at -24.273 eV/atom. Its crystal system is tetragonal.

Lattice parameters (Å, degrees): 5.0811 5.0811 4.1418 90.00 90.00 90.00
With the nearest neighbours (Å) after each atom.
Space group P4/mmm (No. 123)
Symmetry-distinct sites (fractional):
1 Y 0.0000 0.0000 0.0000 x1  2 N 2.07
2 W 0.5000 0.5000 0.5000 x1  8 S 3.28, 4 N 3.59
3 S 0.0000 0.5000 0.0000 x2  2 Y 2.54
4 N 0.0000 0.0000 0.5000 x1  2 Y 2.07

=====

Look up the mass density of the ninth one. 6.0 g/cm3

=====

Please write out number 2 again, unchanged.
Entry from the Alexandria database: a PBEsol-optimized structure of TiS2N2 (meta-GGA SCAN).

Values from the calculation:
For the energy relative to the elements, uncorrected, the calculation gives 0.64 eV/atom. The mass density comes out at 3.2 g/cm3. The total energy comes out at -10.137 eV/atom. Its crystal system is tetragonal. The calculation puts the energy above the most stable polymorph in this dataset at 0.0 meV/atom.

Lattice parameters (Å, degrees): 3.7501 3.7501 5.2075 90.00 90.00 90.00
With the nearest neighbours (Å) after each atom.
Space group P4/mmm (No. 123)
Symmetry-distinct sites (fractional):
1 Ti 0.0000 0.0000 0.0000 x1  4 N 1.88
2 S 0.0000 0.0000 0.5000 x1  2 Ti 2.60, 4 S 2.65
3 S 0.5000 0.5000 0.5000 x1  4 S 2.65
4 N 0.0000 0.5000 0.0000 x2  2 Ti 1.88